# CuMo2Os PBE optimized geometry
# - Energy of formation: 0.53 eV/f.u.
# - E above lowest polymorph: 0.005 eV per atom
# - Magnetic moment: 0.000 μB/atom
# - E: -36.5 eV/cell
data_CuMo2Os
_chemical_formula_sum 'Cu1 Mo2 Os1'
_symmetry_space_group_name_H-M 'P 1 m 1'
_symmetry_Int_Tables_number 6
_cell_length_a 2.785
_cell_length_b 4.403
_cell_length_c 4.763
_cell_angle_alpha 90.00
_cell_angle_beta 90.48
_cell_angle_gamma 90.00
loop_
_symmetry_equiv_pos_as_xyz
'x,y,z'
'x,-y,z'
loop_
_atom_site_label
_atom_site_fract_x
_atom_site_fract_y
_atom_site_fract_z
Cu1 0.000 0.000 0.000
Mo1 0.493 0.000 0.499
Mo2 0.508 0.500 0.154
Os1 0.999 0.500 0.670